# Pm8PrY6 | Alexandria | PBE | optimized geometry
data_Pm8PrY6
_chemical_formula_sum 'Pm24 Pr3 Y18'
_symmetry_space_group_name_H-M 'R -3'
_symmetry_Int_Tables_number 148
_symmetry_space_group_name_Hall '-R 3'
_cell_length_a 9.1727
_cell_length_b 9.1727
_cell_length_c 20.9898
_cell_angle_alpha 90.00
_cell_angle_beta 90.00
_cell_angle_gamma 120.00
loop_
_atom_site_label
_atom_site_fract_x
_atom_site_fract_y
_atom_site_fract_z
_atom_site_occupancy
Pm1 0.0000 0.0000 0.0770 1
Pm2 0.0803 0.5571 0.3067 1
Pr1 0.0000 0.0000 0.5000 1
Y1 0.0457 0.2424 0.2061 1
# Energy of formation, eV/f.u.: 1.757